Entry 1:
CrHgPCl2: relaxed, PBEsol.

a b c (Å): 4.606 4.606 4.808
angles (deg): 90.00 90.00 90.00
Last column: magnetic moment on the atom in μB.
Sites, in units of the cell vectors:
Cl  0.000  0.500  0.000  0.00
Cl  0.500  0.000  0.000  0.00
Hg  0.500  0.500  0.500  -0.01
P  0.000  0.000  0.500  -0.29
Cr  0.000  0.000  0.000  2.77

As for the calculated total energy: -4.219 eV per atom. For the formation energy from raw total energies, the calculation gives -96 meV/atom. Its space group is P4/mmm. The value obtained for the spin magnetization is 2.4 μB per formula unit.

***

Entry 2:
Ti5FeP6O24: relaxed, PBEsol.

a b c (Å): 8.240 8.240 8.240
angles (deg): 63.28 63.28 63.28
Last column: magnetic moment on the atom in μB.
Sites, in units of the cell vectors:
O  0.443  0.599  0.241  0.00
O  0.599  0.241  0.443  0.00
O  0.746  0.095  0.944  0.00
O  0.323  0.115  0.500  0.00
O  0.115  0.500  0.323  0.01
O  0.387  0.169  0.002  0.00
O  0.500  0.323  0.115  0.00
O  0.002  0.625  0.819  0.00
O  0.671  0.883  0.507  0.00
O  0.757  0.554  0.399  0.00
O  0.554  0.399  0.757  0.00
O  0.819  0.002  0.625  0.01
O  0.241  0.443  0.599  -0.01
O  0.048  0.263  0.903  0.00
O  0.095  0.944  0.746  0.00
O  0.169  0.002  0.387  0.00
O  0.903  0.048  0.263  0.01
O  0.399  0.757  0.554  -0.01
O  0.263  0.903  0.048  0.00
O  0.883  0.507  0.671  0.00
O  0.507  0.671  0.883  -0.01
O  0.625  0.819  0.002  -0.01
O  0.002  0.387  0.169  -0.01
O  0.944  0.746  0.095  0.00
Ti  0.637  0.637  0.637  0.00
Ti  0.363  0.363  0.363  0.00
Ti  0.498  0.498  0.498  0.00
Ti  0.999  0.999  0.999  0.00
Ti  0.138  0.138  0.138  -0.01
P  0.035  0.469  0.752  -0.01
P  0.244  0.959  0.544  0.49
P  0.752  0.035  0.469  0.00
P  0.544  0.244  0.959  0.88
P  0.469  0.752  0.035  0.10
P  0.959  0.544  0.244  0.40
Fe  0.865  0.865  0.865  0.00

As for the calculated total energy: -8.258 eV per atom. For the formation energy from raw total energies, the calculation gives -2388 meV/atom. Its space group is R3. The value obtained for the spin magnetization is 2.1 μB per formula unit.

***

Entry 3:
TiHgSe2: relaxed, PBEsol.

a b c (Å): 3.436 3.436 9.542
angles (deg): 79.63 79.63 60.00
Sites, in units of the cell vectors:
Hg  0.000  0.000  0.000
Se  0.111  0.111  0.667
Se  0.889  0.889  0.333
Ti  0.500  0.500  0.500

As for the calculated total energy: -4.947 eV per atom. For the formation energy from raw total energies, the calculation gives -799 meV/atom. Its space group is R-3m. The value obtained for the spin magnetization is 0.0 μB per formula unit.